[1]
DFT (PBE) results for a relaxed structure of Y2OF.

POSCAR file:
```
Y2OF
1.0
5.4633 0.0000 0.0000
0.0000 5.4633 0.0000
0.0000 0.0000 10.7962
Y O F
8 4 4
direct
0.2211 0.2500 0.1250 Y
0.2500 0.7211 0.3750 Y
0.2500 0.7789 0.8750 Y
0.2789 0.2500 0.6250 Y
0.7211 0.7500 0.6250 Y
0.7500 0.2211 0.8750 Y
0.7500 0.2789 0.3750 Y
0.7789 0.7500 0.1250 Y
0.0000 0.0000 0.0000 O
0.0000 0.5000 0.2500 O
0.5000 0.0000 0.7500 O
0.5000 0.5000 0.5000 O
0.0000 0.0000 0.5000 F
0.0000 0.5000 0.7500 F
0.5000 0.0000 0.2500 F
0.5000 0.5000 0.0000 F
```

Computed properties:
Fermi-level density of states = 15.6 states/eV per cell
Polymorph energy (0 for the lowest one) = 0.000 eV per atom
Calculated density = 4.39 g/cm³
Total magnetization = 1.0 μB per formula unit
Space group = I-42d

***

[2]
DFT (PBE) results for a relaxed structure of Y2TlCd.

POSCAR file:
```
Y2TlCd
1.0
12.3264 0.0000 0.0000
0.0000 3.7536 0.0000
-2.1765 0.0000 4.7109
Y Tl Cd
4 2 2
direct
0.0000 0.0000 0.0000 Y
0.2360 0.0000 0.7345 Y
0.5000 0.5000 0.0000 Y
0.7360 0.5000 0.7345 Y
0.4698 0.0000 0.4702 Tl
0.9698 0.5000 0.4702 Tl
0.2536 0.5000 0.2516 Cd
0.7536 0.0000 0.2516 Cd
```

Computed properties:
Fermi-level density of states = 7.0 states/eV per cell
Calculated density = 7.54 g/cm³
Calculated formation energy = -1.153 eV/f.u.
Total magnetization = 0.0 μB per formula unit
Space group = Cm

***

[3]
DFT (PBE) results for a relaxed structure of Cs2CaTcSe.

POSCAR file:
```
Cs2CaTcSe
1.0
6.9536 0.0000 0.0000
0.0000 6.9536 0.0000
0.0000 0.0000 5.5142
Cs Ca Tc Se
2 1 1 1
direct
0.0000 0.5000 0.0000 Cs
0.5000 0.0000 0.0000 Cs
0.0000 0.0000 0.5000 Ca
0.5000 0.5000 0.5000 Tc
0.0000 0.0000 0.0000 Se
```

Computed properties:
Fermi-level density of states = 5.2 states/eV per cell
Uncorrected energy = -3.074 eV per atom
Calculated density = 3.01 g/cm³
Total magnetization = 3.5 μB per formula unit
Space group = P4/mmm

***

[4]
DFT (PBE) results for a relaxed structure of CuSbRu2.

POSCAR file:
```
CuSbRu2
1.0
8.4473 0.0000 0.0000
0.0000 3.0180 0.0000
-1.1013 0.0000 4.8317
Cu Sb Ru
2 2 4
direct
0.0000 0.0000 0.0000 Cu
0.5000 0.5000 0.0000 Cu
0.0000 0.5000 0.5000 Sb
0.5000 0.0000 0.5000 Sb
0.2498 0.0000 0.7695 Ru
0.2502 0.5000 0.2305 Ru
0.7502 0.0000 0.2305 Ru
0.7498 0.5000 0.7695 Ru
```

Computed properties:
Fermi-level density of states = 4.9 states/eV per cell
Uncorrected energy = -6.493 eV per atom
Calculated density = 10.45 g/cm³
Total magnetization = 0.0 μB per formula unit
Space group = C2/m